Entry A
Density functional theory data (PBE-GGA) for a geometry-optimized CrRe3Se structure.

It has space group Pm-3m (No. 221), with a = 4.485 Å, b = 4.485 Å, c = 4.485 Å, α = 90.00°, β = 90.00° and γ = 90.00°. Symmetry generates all atoms from Cr at (0.000, 0.000, 0.000), Re at (0.000, 0.000, 0.500) and Se at (0.500, 0.500, 0.500).

Entry B
Density functional theory data (PBE-GGA) for a geometry-optimized CrRe3Se structure.

It has space group Pm-3m (No. 221), with a = 4.524 Å, b = 4.524 Å, c = 4.524 Å, α = 90.00°, β = 90.00° and γ = 90.00°. Symmetry generates all atoms from Cr at (0.000, 0.000, 0.000), Re at (0.000, 0.500, 0.500) and Se at (0.500, 0.500, 0.500).

Which is the most stable structure? entry B is the most stable.

Entry A
Density functional theory data (PBE-GGA) for a geometry-optimized Cr3ReSi structure.

It has space group Pm-3m (No. 221), with a = 4.190 Å, b = 4.190 Å, c = 4.190 Å, α = 90.00°, β = 90.00° and γ = 90.00°. Symmetry generates all atoms from Cr at (0.000, 0.000, 0.500), Re at (0.500, 0.500, 0.500) and Si at (0.000, 0.000, 0.000).

Entry B
Density functional theory data (PBE-GGA) for a geometry-optimized Cr3ReSi structure.

It has space group Pm-3m (No. 221), with a = 4.654 Å, b = 4.654 Å, c = 4.654 Å, α = 90.00°, β = 90.00° and γ = 90.00°. Symmetry generates all atoms from Cr at (0.000, 0.000, 0.500), Re at (0.000, 0.000, 0.000) and Si at (0.500, 0.500, 0.500).

Which is the most stable structure? entry A is the most stable.

Entry A
Density functional theory data (PBE-GGA) for a geometry-optimized CrRe3Si structure.

It has space group Pm-3m (No. 221), with a = 4.430 Å, b = 4.430 Å, c = 4.430 Å, α = 90.00°, β = 90.00° and γ = 90.00°. Symmetry generates all atoms from Cr at (0.000, 0.000, 0.000), Re at (0.000, 0.000, 0.500) and Si at (0.500, 0.500, 0.500).

Entry B
Density functional theory data (PBE-GGA) for a geometry-optimized CrRe3Si structure.

It has space group Pm-3m (No. 221), with a = 4.352 Å, b = 4.352 Å, c = 4.352 Å, α = 90.00°, β = 90.00° and γ = 90.00°. Symmetry generates all atoms from Cr at (0.000, 0.000, 0.000), Re at (0.000, 0.500, 0.500) and Si at (0.500, 0.500, 0.500).

Which is the most stable structure? entry B is the most stable.